Record 1
DFT (PBE-GGA) results for Er2MgCu9 after structural relaxation.

Unit cell a=5.0717 b=5.0717 c=24.7599 alpha=90.00 beta=90.00 gamma=120.00
Space group R-3m (No. 166, hexagonal axes)
Symmetry-distinct sites (fractional):
Er: 0.0000 0.0000 0.1372 (multiplicity 6)
Mg: 0.0000 0.0000 0.0000 (multiplicity 3)
Cu: 0.0000 0.0000 0.3328 (multiplicity 6)
Cu: 0.0000 0.0000 0.5000 (multiplicity 3)
Cu: 0.0017 0.5009 0.9181 (multiplicity 18)

## Properties
- energy relative to the elements (eV/atom) = -0.15
- calculated volume (Å³/cell) = 551.6

---

Record 2
DFT (PBE-GGA) results for Ca2TlIr after structural relaxation.

Unit cell a=3.509 b=3.614 c=8.416 alpha=90.00 beta=90.00 gamma=90.00
Space group Pmm2 (No. 25)
Symmetry-distinct sites (fractional):
Ca: 0.000 0.000 0.000 (multiplicity 1)
Ca: 0.500 0.500 0.388 (multiplicity 1)
Tl: 0.500 0.500 0.761 (multiplicity 1)
Ir: 0.000 0.000 0.592 (multiplicity 1)

## Properties
- excess energy over the best structure of this formula in the dataset (eV/atom) = 0.228
- energy relative to the elements (eV/atom) = -0.07
- calculated volume (Å³/cell) = 106.7

---

Record 3
DFT (PBE-GGA) results for Y4FeRh2 after structural relaxation.

Unit cell a=4.910 b=4.910 c=14.131 alpha=90.00 beta=90.00 gamma=90.00
Space group I4/mmm (No. 139)
Symmetry-distinct sites (fractional):
Y: 0.000 0.000 0.190 (multiplicity 4)
Y: 0.000 0.500 0.000 (multiplicity 4)
Fe: 0.000 0.000 0.000 (multiplicity 2)
Rh: 0.000 0.000 0.376 (multiplicity 4)

## Properties
- energy relative to the elements (eV/atom) = -0.11
- calculated volume (Å³/cell) = 340.7

---

Record 4
DFT (PBE-GGA) results for KCaI2Cl after structural relaxation.

Unit cell a=6.248 b=6.248 c=5.306 alpha=90.00 beta=90.00 gamma=90.00
Space group P4/mmm (No. 123)
Symmetry-distinct sites (fractional):
K: 0.000 0.000 0.000 (multiplicity 1)
Ca: 0.500 0.500 0.500 (multiplicity 1)
I: 0.000 0.500 0.500 (multiplicity 2)
Cl: 0.500 0.500 0.000 (multiplicity 1)

## Properties
- uncorrected formation energy (meV/atom) = -1730.8
- excess energy over the best structure of this formula in the dataset (eV/atom) = 0.042
- calculated volume (Å³/cell) = 207.1